# 1
# NbV3Te

A relaxed NbV3Te crystal (PBE-GGA, the Alexandria database).

Output
**DOS at the Fermi energy**: 1.14 states/eV per atom
**E_form (uncorrected)**: 124 kJ per mole of atoms
**Energy above the most stable polymorph in this dataset**: 0.000 eV/atom

abc: 4.666 4.666 4.666
angles: 90.00 90.00 90.00
Space group Pm-3m (No. 221)
Unique sites:
Nb  0.000  0.000  0.000 [1 per cell]
V  0.000  0.000  0.500 [3 per cell]
Te  0.500  0.500  0.500 [1 per cell]

---

# 2
# Nb2V2Te7

A relaxed Nb2V2Te7 crystal (PBE-GGA, the Alexandria database).

Output
**DOS at the Fermi energy**: 0.71 states/eV per atom
**E_form (uncorrected)**: -9 kJ per mole of atoms

abc: 8.019 12.123 6.778
angles: 90.00 90.75 90.00
Space group C2/m (No. 12)
Unique sites:
Nb  0.000  0.136  0.000 [4 per cell]
V  0.221  0.000  0.682 [4 per cell]
Te  0.000  0.500  0.500 [2 per cell]
Te  0.120  0.000  0.292 [4 per cell]
Te  0.226  0.294  0.223 [8 per cell]

---

# 3
# NbVTe2

A relaxed NbVTe2 crystal (PBE-GGA, the Alexandria database).

Output
**DOS at the Fermi energy**: 0.77 states/eV per atom
**E_form (uncorrected)**: 30 kJ per mole of atoms
**Energy above the most stable polymorph in this dataset**: 0.492 eV/atom

abc: 6.298 6.298 12.563
angles: 90.00 90.00 90.00
Space group I-42d (No. 122)
Unique sites:
Nb  0.000  0.000  0.000 [4 per cell]
V  0.000  0.000  0.500 [4 per cell]
Te  0.241  0.250  0.625 [8 per cell]

---

# 4
# Nb4VTe8

A relaxed Nb4VTe8 crystal (PBE-GGA, the Alexandria database).

Output
**DOS at the Fermi energy**: 0.80 states/eV per atom
**E_form (uncorrected)**: -29 kJ per mole of atoms

abc: 7.3479 7.3479 22.3763
angles: 90.00 90.00 120.00
Space group R-3m (No. 166, hexagonal axes)
Unique sites:
Nb  0.0000  0.0000  0.0000 [3 per cell]
Nb  0.0000  0.5000  0.0000 [9 per cell]
V  0.0000  0.0000  0.5000 [3 per cell]
Te  0.0000  0.0000  0.2502 [6 per cell]
Te  0.0020  0.5010  0.2497 [18 per cell]

---

# 5
# Nb2VTe4

A relaxed Nb2VTe4 crystal (PBE-GGA, the Alexandria database).

Output
**DOS at the Fermi energy**: 0.58 states/eV per atom
**E_form (uncorrected)**: -40 kJ per mole of atoms

abc: 14.765 3.721 6.830
angles: 90.00 115.78 90.00
Space group C2/m (No. 12)
Unique sites:
Nb  0.244  0.000  0.174 [4 per cell]
V  0.000  0.500  0.500 [2 per cell]
Te  0.098  0.500  0.942 [4 per cell]
Te  0.139  0.000  0.474 [4 per cell]

---

# 6
# NbVTe4

A relaxed NbVTe4 crystal (PBE-GGA, the Alexandria database).

Output
**DOS at the Fermi energy**: 0.47 states/eV per atom
**E_form (uncorrected)**: -36 kJ per mole of atoms
**Energy above the most stable polymorph in this dataset**: 0.000 eV/atom

abc: 6.344 3.649 7.669
angles: 90.00 105.37 90.00
Space group P2/m (No. 10)
Unique sites:
Nb  0.000  0.000  0.000 [1 per cell]
V  0.500  0.500  0.000 [1 per cell]
Te  0.254  0.500  0.246 [2 per cell]
Te  0.265  0.000  0.761 [2 per cell]

---

# 7
# Nb2Te6W

A relaxed Nb2Te6W crystal (PBE-GGA, the Alexandria database).

Output
**DOS at the Fermi energy**: 0.51 states/eV per atom
**E_form (uncorrected)**: -4 kJ per mole of atoms

abc: 6.997 7.237 10.208
angles: 90.00 120.48 90.00
Space group P2_1/c (No. 14)
Unique sites:
Nb  0.243  0.138  0.261 [4 per cell]
Te  0.085  0.156  0.926 [4 per cell]
Te  0.318  0.671  0.949 [4 per cell]
Te  0.397  0.005  0.762 [4 per cell]
W  0.000  0.000  0.500 [2 per cell]

---

# 8
# Nb3TeW

A relaxed Nb3TeW crystal (PBE-GGA, the Alexandria database).

Output
**DOS at the Fermi energy**: 1.65 states/eV per atom
**E_form (uncorrected)**: 184 kJ per mole of atoms
**Energy above the most stable polymorph in this dataset**: 0.724 eV/atom

abc: 4.912 4.912 4.912
angles: 90.00 90.00 90.00
Space group Pm-3m (No. 221)
Unique sites:
Nb  0.000  0.000  0.500 [3 per cell]
Te  0.000  0.000  0.000 [1 per cell]
W  0.500  0.500  0.500 [1 per cell]

---

# 9
# NbTe4W

A relaxed NbTe4W crystal (PBE-GGA, the Alexandria database).

Output
**DOS at the Fermi energy**: 0.66 states/eV per atom
**E_form (uncorrected)**: 4 kJ per mole of atoms
**Energy above the most stable polymorph in this dataset**: 0.306 eV/atom

abc: 6.876 20.409 6.416
angles: 90.00 122.24 90.00
Space group C2/c (No. 15)
Unique sites:
Nb  0.000  0.177  0.250 [4 per cell]
Te  0.164  0.417  0.581 [8 per cell]
Te  0.244  0.216  0.762 [8 per cell]
W  0.000  0.327  0.750 [4 per cell]

---

# 10
# NbTe2W4

A relaxed NbTe2W4 crystal (PBE-GGA, the Alexandria database).

Output
**DOS at the Fermi energy**: 0.98 states/eV per atom
**E_form (uncorrected)**: 192 kJ per mole of atoms

abc: 4.844 4.844 13.539
angles: 90.00 90.00 90.00
Space group I4/mmm (No. 139)
Unique sites:
Nb  0.000  0.000  0.000 [2 per cell]
Te  0.000  0.000  0.380 [4 per cell]
W  0.000  0.000  0.186 [4 per cell]
W  0.000  0.500  0.000 [4 per cell]

---

# 11
# NbTe3W

A relaxed NbTe3W crystal (PBE-GGA, the Alexandria database).

Output
**DOS at the Fermi energy**: 1.06 states/eV per atom
**E_form (uncorrected)**: 109 kJ per mole of atoms
**Energy above the most stable polymorph in this dataset**: 0.000 eV/atom

abc: 5.283 5.283 5.283
angles: 90.00 90.00 90.00
Space group Pm-3m (No. 221)
Unique sites:
Nb  0.000  0.000  0.000 [1 per cell]
Te  0.000  0.500  0.500 [3 per cell]
W  0.500  0.500  0.500 [1 per cell]

---

# 12
# NbTeW3

A relaxed NbTeW3 crystal (PBE-GGA, the Alexandria database).

Output
**DOS at the Fermi energy**: 1.70 states/eV per atom
**E_form (uncorrected)**: 217 kJ per mole of atoms
**Energy above the most stable polymorph in this dataset**: 0.000 eV/atom

abc: 4.846 4.846 4.846
angles: 90.00 90.00 90.00
Space group Pm-3m (No. 221)
Unique sites:
Nb  0.000  0.000  0.000 [1 per cell]
Te  0.500  0.500  0.500 [1 per cell]
W  0.000  0.000  0.500 [3 per cell]

---

Question: What is the formula in the fifth record?
Answer: Nb2VTe4

---

Question: Among the records above, which one has the highest E_form (uncorrected)?
Answer: NbTeW3